# TlFeAg2 PBE relaxed
# Density   10562 kg/m3
# Energy of formation   0.454 eV/atom
# Relative energy among the computed polymorphs   85 meV per atom
# Volume   149.7 Å³/cell
data_TlFeAg2
_cell_length_a 5.688
_cell_length_b 8.799
_cell_length_c 2.990
_cell_angle_alpha 90.00
_cell_angle_beta 90.00
_cell_angle_gamma 90.00
_symmetry_space_group_name_H-M 'C m m m'
_symmetry_Int_Tables_number 65
_symmetry_space_group_name_Hall '-C 2 2'
loop_
_atom_site_label
_atom_site_type_symbol
_atom_site_fract_x
_atom_site_fract_y
_atom_site_fract_z
Tl1 Tl 0.000 0.000 0.000
Fe1 Fe 0.000 0.500 0.000
Ag1 Ag 0.250 0.250 0.500